First-principles (PBE) data for crystalline Er2Tl2Cd at its relaxed geometry, as listed in Alexandria via LeMat-Bulk.

Values from the calculation:
Symmetry ... Ibam, No. 72
Relative energy among the computed polymorphs ... 140.8 meV per atom

a b c (Å): 8.211 8.211 8.211
angles (deg): 135.13 66.14 134.09
Fractional positions:
Er (0.177, 0.186, 0.363)
Er (0.323, 0.686, 0.009)
Er (0.677, 0.314, 0.991)
Er (0.823, 0.814, 0.637)
Tl (0.097, 0.651, 0.748)
Tl (0.403, 0.151, 0.555)
Tl (0.597, 0.849, 0.445)
Tl (0.903, 0.349, 0.252)
Cd (0.250, 0.250, 0.000)
Cd (0.750, 0.750, 0.000)

---

First-principles (PBE) data for crystalline ScNiPb4 at its relaxed geometry, as listed in Alexandria via LeMat-Bulk.

Values from the calculation:
Symmetry ... F-43m, No. 216
E ... -0.2883 Ry per atom

a b c (Å): 6.286 6.286 6.286
angles (deg): 60.00 60.00 60.00
Fractional positions:
Sc (0.000, 0.000, 0.000)
Ni (0.250, 0.250, 0.250)
Pb (0.124, 0.625, 0.625)
Pb (0.625, 0.124, 0.625)
Pb (0.625, 0.625, 0.124)
Pb (0.625, 0.625, 0.625)

---

First-principles (PBE) data for crystalline Hf3NbB4 at its relaxed geometry, as listed in Alexandria via LeMat-Bulk.

Values from the calculation:
Symmetry ... Immm, No. 71
E ... -0.6487 Ry per atom

a b c (Å): 7.072 7.072 7.072
angles (deg): 151.62 138.65 50.92
Fractional positions:
Hf (0.000, 0.000, 0.000)
Hf (0.310, 0.810, 0.500)
Hf (0.690, 0.190, 0.500)
Nb (0.500, 0.500, 0.000)
B (0.038, 0.369, 0.668)
B (0.299, 0.631, 0.668)
B (0.701, 0.369, 0.332)
B (0.962, 0.631, 0.332)

---

First-principles (PBE) data for crystalline Na3Sn3Au2 at its relaxed geometry, as listed in Alexandria via LeMat-Bulk.

Values from the calculation:
Symmetry ... Pnma, No. 62
Relative energy among the computed polymorphs ... 17.5 meV per atom

a b c (Å): 7.001 18.933 6.059
angles (deg): 90.00 90.00 90.00
Fractional positions:
Na (0.023, 0.118, 0.096)
Na (0.023, 0.382, 0.096)
Na (0.215, 0.250, 0.662)
Na (0.285, 0.750, 0.162)
Na (0.477, 0.618, 0.596)
Na (0.477, 0.882, 0.596)
Na (0.523, 0.118, 0.404)
Na (0.523, 0.382, 0.404)
Na (0.715, 0.250, 0.838)
Na (0.785, 0.750, 0.338)
Na (0.977, 0.618, 0.904)
Na (0.977, 0.882, 0.904)
Sn (0.148, 0.750, 0.659)
Sn (0.198, 0.025, 0.674)
Sn (0.198, 0.475, 0.674)
Sn (0.302, 0.525, 0.174)
Sn (0.302, 0.975, 0.174)
Sn (0.352, 0.250, 0.159)
Sn (0.648, 0.750, 0.841)
Sn (0.698, 0.025, 0.826)
Sn (0.698, 0.475, 0.826)
Sn (0.802, 0.525, 0.326)
Sn (0.802, 0.975, 0.326)
Sn (0.852, 0.250, 0.341)
Au (0.076, 0.629, 0.418)
Au (0.076, 0.871, 0.418)
Au (0.424, 0.129, 0.918)
Au (0.424, 0.371, 0.918)
Au (0.576, 0.629, 0.082)
Au (0.576, 0.871, 0.082)
Au (0.924, 0.129, 0.582)
Au (0.924, 0.371, 0.582)

---

First-principles (PBE) data for crystalline BeNiRu2 at its relaxed geometry, as listed in Alexandria via LeMat-Bulk.

Values from the calculation:
Symmetry ... P4/mmm, No. 123
E ... -0.5171 Ry per atom

a b c (Å): 2.762 2.762 6.102
angles (deg): 90.00 90.00 90.00
Fractional positions:
Be (0.000, 0.000, 0.000)
Ni (0.000, 0.000, 0.500)
Ru (0.500, 0.500, 0.223)
Ru (0.500, 0.500, 0.777)

---

First-principles (PBE) data for crystalline Pr10DyY6 at its relaxed geometry, as listed in Alexandria via LeMat-Bulk.

Values from the calculation:
Symmetry ... P-31m, No. 162
E ... -0.3848 Ry per atom

a b c (Å): 9.944 9.944 6.980
angles (deg): 90.00 90.00 120.00
Fractional positions:
Pr (0.000, 0.275, 0.181)
Pr (0.000, 0.725, 0.819)
Pr (0.275, 0.000, 0.181)
Pr (0.275, 0.275, 0.819)
Pr (0.333, 0.667, 0.000)
Pr (0.333, 0.667, 0.500)
Pr (0.667, 0.333, 0.000)
Pr (0.667, 0.333, 0.500)
Pr (0.725, 0.000, 0.819)
Pr (0.725, 0.725, 0.181)
Dy (0.000, 0.000, 0.500)
Y (0.000, 0.366, 0.685)
Y (0.000, 0.634, 0.315)
Y (0.366, 0.000, 0.685)
Y (0.366, 0.366, 0.315)
Y (0.634, 0.000, 0.315)
Y (0.634, 0.634, 0.685)

---

First-principles (PBE) data for crystalline RbGeP2O at its relaxed geometry, as listed in Alexandria via LeMat-Bulk.

Values from the calculation:
Symmetry ... P4/mmm, No. 123
Relative energy among the computed polymorphs ... 1406.2 meV per atom

a b c (Å): 5.408 5.408 4.288
angles (deg): 90.00 90.00 90.00
Fractional positions:
Rb (0.000, 0.000, 0.000)
Ge (0.500, 0.500, 0.500)
P (0.000, 0.500, 0.000)
P (0.500, 0.000, 0.000)
O (0.000, 0.000, 0.500)

---

First-principles (PBE) data for crystalline La3Tb4Sm at its relaxed geometry, as listed in Alexandria via LeMat-Bulk.

Values from the calculation:
Symmetry ... Immm, No. 71
Relative energy among the computed polymorphs ... 94.9 meV per atom

a b c (Å): 9.064 9.064 9.064
angles (deg): 157.67 98.21 86.12
Fractional positions:
La (0.000, 0.000, 0.000)
La (0.257, 0.757, 0.500)
La (0.743, 0.243, 0.500)
Tb (0.119, 0.366, 0.753)
Tb (0.387, 0.634, 0.753)
Tb (0.613, 0.366, 0.247)
Tb (0.881, 0.634, 0.247)
Sm (0.500, 0.500, 0.000)

---

First-principles (PBE) data for crystalline TcIr2Au at its relaxed geometry, as listed in Alexandria via LeMat-Bulk.

Values from the calculation:
Symmetry ... I-42d, No. 122
Relative energy among the computed polymorphs ... 627.6 meV per atom

a b c (Å): 5.728 5.728 5.728
angles (deg): 102.98 102.98 123.43
Fractional positions:
Tc (0.000, 0.000, 0.000)
Tc (0.750, 0.250, 0.500)
Ir (0.086, 0.625, 0.961)
Ir (0.375, 0.336, 0.461)
Ir (0.664, 0.125, 0.039)
Ir (0.875, 0.914, 0.539)
Au (0.250, 0.750, 0.500)
Au (0.500, 0.500, 0.000)

---

First-principles (PBE) data for crystalline NdNpTl2O6 at its relaxed geometry, as listed in Alexandria via LeMat-Bulk.

Values from the calculation:
Symmetry ... P2_1/c, No. 14
E ... -0.5481 Ry per atom

a b c (Å): 6.248 6.247 10.820
angles (deg): 90.00 125.27 90.00
Fractional positions:
Nd (0.000, 0.000, 0.000)
Nd (0.000, 0.500, 0.500)
Np (0.500, 0.000, 0.500)
Np (0.500, 0.500, 0.000)
Tl (0.250, 0.000, 0.750)
Tl (0.250, 0.500, 0.250)
Tl (0.750, 0.000, 0.250)
Tl (0.750, 0.500, 0.750)
O (0.261, 0.000, 0.269)
O (0.261, 0.500, 0.769)
O (0.273, 0.230, 0.504)
O (0.273, 0.270, 0.004)
O (0.274, 0.731, 0.004)
O (0.274, 0.769, 0.504)
O (0.726, 0.231, 0.496)
O (0.726, 0.269, 0.996)
O (0.727, 0.730, 0.996)
O (0.727, 0.770, 0.496)
O (0.739, 0.000, 0.731)
O (0.739, 0.500, 0.231)

---

First-principles (PBE) data for crystalline La6Pd2SBr3 at its relaxed geometry, as listed in Alexandria via LeMat-Bulk.

Values from the calculation:
Symmetry ... C2/m, No. 12
E ... -0.3944 Ry per atom

a b c (Å): 7.374 7.374 7.813
angles (deg): 99.12 99.12 119.69
Fractional positions:
La (0.074, 0.405, 0.219)
La (0.259, 0.259, 0.783)
La (0.405, 0.074, 0.219)
La (0.595, 0.926, 0.781)
La (0.741, 0.741, 0.217)
La (0.926, 0.595, 0.781)
Pd (0.333, 0.667, 0.000)
Pd (0.667, 0.333, 0.000)
S (0.000, 0.000, 0.000)
Br (0.165, 0.835, 0.500)
Br (0.500, 0.500, 0.500)
Br (0.835, 0.165, 0.500)

---

First-principles (PBE) data for crystalline FeOs2Br at its relaxed geometry, as listed in Alexandria via LeMat-Bulk.

Values from the calculation:
Symmetry ... R-3m, No. 166
Relative energy among the computed polymorphs ... 119.1 meV per atom

a b c (Å): 12.355 12.355 12.355
angles (deg): 12.51 12.51 12.51
Fractional positions:
Fe (0.000, 0.000, 0.000)
Os (0.278, 0.278, 0.278)
Os (0.722, 0.722, 0.722)
Br (0.500, 0.500, 0.500)